# 1
This record from the Alexandria database describes a relaxed structure of AcNpGa2. The functional is PBE.

extended XYZ file:
```
4
Lattice="-0.728 -3.339 1.424 2.765 -2.127 1.239 -0.205 2.033 9.474" Properties=species:S:1:pos:R:3 pbc="T T T"
Ga 1.358 -2.507 9.253
Np 0.000 0.000 0.000
Ga 0.473 -0.926 2.884
Ac 0.916 -1.716 6.069
```

Calculated values
Theoretical density = 8932 kg/m³
Symmetry = R-3m
Electronic total energy = -22.681 eV/cell
DOS at the Fermi energy = 1.748 states/eV/atom
Size of the total moment = 1.13 μB/atom


# 2
This record from the Alexandria database describes a relaxed structure of Pm2Nd5HoTm. The functional is PBE.

extended XYZ file:
```
18
Lattice="8.578 0.000 0.000 0.000 8.578 0.000 -4.289 -4.289 8.455" Properties=species:S:1:pos:R:3 pbc="T T T"
Pm 5.337 1.048 0.000
Ho 4.289 4.289 4.227
Nd 0.000 0.000 0.000
Pm 3.241 7.530 0.000
Nd 4.289 4.289 0.000
Ho 0.000 0.000 4.227
Nd -2.413 1.876 6.029
Nd 2.413 -1.876 6.029
Pm 1.048 3.241 0.000
Pm 7.530 5.337 0.000
Nd 6.702 2.413 2.425
Tm 4.289 0.000 4.227
Nd -1.876 -2.413 6.029
Nd 1.876 2.413 6.029
Nd 2.413 1.876 2.425
Nd 1.876 6.165 2.425
Tm 0.000 4.289 4.227
Nd 6.165 6.702 2.425
```

Calculated values
Theoretical density = 7181 kg/m³
Symmetry = I4/mcm
Electronic total energy = -79.725 eV/cell
DOS at the Fermi energy = 1.491 states/eV/atom
Size of the total moment = 0.00 μB/atom


# 3
This record from the Alexandria database describes a relaxed structure of Pm8Nd3Er3. The functional is PBE.

extended XYZ file:
```
14
Lattice="5.623 -0.001 1.129 2.769 9.379 0.776 1.075 -3.220 9.204" Properties=species:S:1:pos:R:3 pbc="T T T"
Er 4.733 3.079 5.554
Pm 7.434 5.370 6.681
Er 5.263 1.242 2.914
Pm 2.033 0.788 4.428
Pm 2.381 3.382 2.693
Pm 4.826 6.851 5.099
Er 4.204 4.916 8.194
Pm 7.085 2.777 8.416
Pm 4.076 1.271 8.832
Nd 2.464 7.111 2.293
Pm 4.640 -0.693 6.010
Pm 5.390 4.888 2.277
Nd 2.812 0.000 0.564
Nd 1.380 -0.952 7.687
```

Calculated values
Theoretical density = 7275 kg/m³
Symmetry = Immm
Electronic total energy = -64.608 eV/cell
DOS at the Fermi energy = 1.434 states/eV/atom
Size of the total moment = 0.00 μB/atom


# 4
This record from the Alexandria database describes a relaxed structure of ZnIn2Ir2. The functional is PBE.

extended XYZ file:
```
10
Lattice="-3.848 -6.721 -0.820 4.866 -3.401 5.041 -1.826 0.767 2.280" Properties=species:S:1:pos:R:3 pbc="T T T"
Ir -2.483 -6.495 2.197
Ir -1.509 -2.471 1.623
In 1.165 -2.184 1.668
Ir 0.700 -6.884 4.878
Zn 0.000 0.000 0.000
In -1.776 -4.833 0.204
In 2.793 -5.289 4.017
Ir 1.675 -2.860 4.304
Zn 0.509 -5.061 2.111
In -0.148 -7.939 2.553
```

Calculated values
Theoretical density = 12319 kg/m³
Symmetry = P4/mbm
Electronic total energy = -47.651 eV/cell
DOS at the Fermi energy = 0.335 states/eV/atom
Size of the total moment = 0.00 μB/atom


# 5
This record from the Alexandria database describes a relaxed structure of Cs2RbSrPd. The functional is PBE.

extended XYZ file:
```
5
Lattice="-2.899 1.330 6.558 -6.648 0.242 -2.988 -0.632 -5.940 0.926" Properties=species:S:1:pos:R:3 pbc="T T T"
Rb -5.089 -2.184 2.248
Cs -3.324 0.121 -1.494
Pd 0.000 0.000 0.000
Sr -0.316 -2.970 0.463
Cs -1.450 0.665 3.279
```

Calculated values
Theoretical density = 2817 kg/m³
Symmetry = P4/mmm
Electronic total energy = -9.445 eV/cell
DOS at the Fermi energy = 0.840 states/eV/atom
Size of the total moment = 0.00 μB/atom


# 6
This record from the Alexandria database describes a relaxed structure of FeGeS2. The functional is PBE.

extended XYZ file:
```
4
Lattice="2.104 0.000 7.187 -1.052 1.822 7.187 -1.052 -1.822 7.187" Properties=species:S:1:pos:R:3 pbc="T T T"
Ge 0.000 0.000 10.781
Fe 0.000 0.000 0.000
S 0.000 0.000 19.399
S 0.000 0.000 2.162
```

Calculated values
Theoretical density = 3871 kg/m³
Symmetry = R-3m
Electronic total energy = -20.802 eV/cell
ΔE_f (raw) = 133 meV per atom
DOS at the Fermi energy = 1.576 states/eV/atom
Size of the total moment = 0.77 μB/atom


# 7
This record from the Alexandria database describes a relaxed structure of PmNd2DyBi5. The functional is PBE.

extended XYZ file:
```
9
Lattice="-0.055 2.364 4.880 1.494 -4.685 2.286 11.612 3.047 -1.345" Properties=species:S:1:pos:R:3 pbc="T T T"
Bi 0.719 -1.161 3.583
Pm 0.000 0.000 0.000
Nd 9.172 1.057 2.604
Bi 8.725 2.290 -1.010
Dy 5.806 1.523 -0.672
Bi 2.886 0.757 -0.334
Bi 6.553 -0.819 0.471
Bi 5.778 2.705 1.768
Nd 3.879 -0.331 3.217
```

Calculated values
Theoretical density = 7670 kg/m³
Symmetry = P4/mmm
Electronic total energy = -39.590 eV/cell
DOS at the Fermi energy = 0.701 states/eV/atom
Size of the total moment = 0.00 μB/atom


# 8
This record from the Alexandria database describes a relaxed structure of TaFe2Pt2. The functional is PBE.

extended XYZ file:
```
10
Lattice="6.426 0.000 -1.887 0.094 4.525 0.319 -1.692 1.875 6.125" Properties=species:S:1:pos:R:3 pbc="T T T"
Fe 4.689 3.170 2.032
Fe 1.201 0.968 2.040
Pt 2.542 3.106 3.561
Pt -0.166 5.368 4.530
Pt 2.287 3.295 0.996
Fe 0.140 3.231 2.525
Ta 2.176 1.131 -0.552
Pt 4.994 1.032 0.028
Ta 4.344 3.394 -1.016
Fe 3.628 5.432 2.517
```

Calculated values
Theoretical density = 14218 kg/m³
Symmetry = Imma
Electronic total energy = -82.757 eV/cell
DOS at the Fermi energy = 0.928 states/eV/atom
Size of the total moment = 0.98 μB/atom